# PBE CrTc, optimized geometry
data_CrTc
_chemical_formula_sum 'Cr2 Tc2'
_cell_length_a 2.6856
_cell_length_b 2.6856
_cell_length_c 8.5786
_cell_angle_alpha 90.00
_cell_angle_beta 90.00
_cell_angle_gamma 120.00
_symmetry_space_group_name_H-M 'P 63/m m c'
_symmetry_Int_Tables_number 194
_symmetry_space_group_name_Hall '-P 6c 2c'
loop_
_atom_site_label
_atom_site_fract_x
_atom_site_fract_y
_atom_site_fract_z
Cr1 0.3333 0.6667 0.2500
Tc1 0.0000 0.0000 0.0000
# formation energy from the elements = 0.5 eV per formula unit
# density of states at the Fermi level = 6.699 states/eV/cell